First-principles (PBE) data for CrP2OsS after structural relaxation, as listed in the Alexandria database.

Cell lengths 4.392, 4.392, 4.256 Å; angles 90.00, 90.00, 90.00 degrees
Site moments in Bohr magnetons follow the coordinates.
Element x y z (fractional)
P: 0.000 0.500 0.000  -0.07
P: 0.500 0.000 0.000  -0.07
S: 0.000 0.000 0.500  -0.06
Os: 0.500 0.500 0.500  0.88
Cr: 0.000 0.000 0.000  0.82

Properties
* size of the total moment: 0.307 μB/atom
* calculated volume: 16.4 Å³ per atom
* distance to the lowest polymorph of the same formula: 0.0 meV/atom
* ΔE_f (raw): 108.20 kJ/mol of atoms
* symmetry: P4/mmm
* calculated density: 6.8 Mg/m³